No. 1
Below is crystalline TbPd3 at its relaxed geometry, with properties calculated at the PBE level.

Summary:
The calculation puts the total moment at 0.00 μB/cell. Its formation energy is -799 meV per atom.

abc: 4.6544 5.2319 5.9109
angles: 90.00 90.00 90.00
Positions (direct):
Pd1 0.0000 0.1608 0.7554
Tb1 0.5000 0.3421 0.5000
Pd2 0.0000 0.1608 0.2446
Tb2 0.0000 0.6579 0.0000
Pd3 0.0000 0.6988 0.5000
Pd4 0.5000 0.8392 0.2554
Pd5 0.5000 0.3012 0.0000
Pd6 0.5000 0.8392 0.7446

***

No. 2
Below is crystalline Pr2LuAl at its relaxed geometry, with properties calculated at the PBE level.

Summary:
The calculation puts the total moment at 0.00 μB/cell. Its formation energy is -73 meV per atom. As for the offset from the most stable computed form: 83 meV per atom.

abc: 5.4600 5.4600 5.4600
angles: 60.00 60.00 60.00
Positions (direct):
Al1 0.5000 0.5000 0.5000
Lu1 0.0000 0.0000 0.0000
Pr1 0.2500 0.2500 0.2500
Pr2 0.7500 0.7500 0.7500

***

No. 3
Below is crystalline LiLa2Br at its relaxed geometry, with properties calculated at the PBE level.

Summary:
As for the energy relative to the elements, uncorrected: -0.30 eV per atom. The calculation puts the total moment at 0.00 μB/cell. As for the offset from the most stable computed form: 255 meV per atom.

abc: 8.6817 8.6817 7.0087
angles: 51.73 51.73 90.00
Positions (direct):
La1 0.3750 0.3427 0.7500
La2 0.6573 0.1250 0.2500
Br1 0.0000 0.0000 0.0000
Li1 0.2500 0.7500 0.5000
La3 0.0927 0.6250 0.2500
Li2 0.5000 0.5000 0.0000
Br2 0.7500 0.2500 0.5000
La4 0.8750 0.9073 0.7500

***

No. 4
Below is crystalline TaCu2 at its relaxed geometry, with properties calculated at the PBE level.

Summary:
The calculation puts the total moment at 0.00 μB/cell. Its formation energy is 499 meV per atom.

abc: 6.1055 6.1055 4.3078
angles: 90.00 90.00 120.00
Positions (direct):
Cu1 0.0000 0.2273 0.0000
Cu2 0.4496 0.0000 0.5000
Cu3 0.0000 0.4496 0.5000
Ta1 0.6667 0.3333 0.0000
Cu4 0.2273 0.0000 0.0000
Ta2 0.3333 0.6667 0.0000
Cu5 0.5504 0.5504 0.5000
Ta3 0.0000 0.0000 0.5000
Cu6 0.7727 0.7727 0.0000

***

No. 5
Below is crystalline Sm3ScCo8 at its relaxed geometry, with properties calculated at the PBE level.

Summary:
The calculation puts the total moment at 7.49 μB/cell. Its formation energy is -144 meV per atom.

abc: 5.0695 5.0695 8.8026
angles: 73.26 73.26 60.00
Site moments in Bohr magnetons follow the coordinates.
Positions (direct):
Co1 0.1883 0.1883 0.4352  1.20
Co2 0.9374 0.4450 0.6803  1.15
Co3 0.9374 0.9374 0.6803  1.15
Co4 0.4365 0.9323 0.1946  1.14
Co5 0.6873 0.6873 0.9380  1.07
Sm1 0.5011 0.5011 0.4966  -0.21
Co6 0.4450 0.9374 0.6803  1.15
Co7 0.9323 0.4365 0.1946  1.14
Sm2 0.9983 0.9983 0.0050  -0.22
Sc1 0.8748 0.8748 0.3757  -0.29
Co8 0.4365 0.4365 0.1946  1.14
Sm3 0.3750 0.3750 0.8749  -0.23

***

Which value of total moment does entry 3 give?
0.00 μB/cell

***

Repeat the fourth record exactly.
Below is crystalline TaCu2 at its relaxed geometry, with properties calculated at the PBE level.

Summary:
The calculation puts the total moment at 0.00 μB/cell. Its formation energy is 499 meV per atom.

abc: 6.1055 6.1055 4.3078
angles: 90.00 90.00 120.00
Positions (direct):
Cu1 0.0000 0.2273 0.0000
Cu2 0.4496 0.0000 0.5000
Cu3 0.0000 0.4496 0.5000
Ta1 0.6667 0.3333 0.0000
Cu4 0.2273 0.0000 0.0000
Ta2 0.3333 0.6667 0.0000
Cu5 0.5504 0.5504 0.5000
Ta3 0.0000 0.0000 0.5000
Cu6 0.7727 0.7727 0.0000